LaMoIr2: relaxed, PBE-GGA.

```
data_LaMoIr2
_chemical_formula_sum 'La1 Mo1 Ir2'
_symmetry_space_group_name_H-M 'P 4/m m m'
_symmetry_Int_Tables_number 123
_symmetry_space_group_name_Hall '-P 4 2'
_cell_length_a 5.0133
_cell_length_b 5.0133
_cell_length_c 2.9467
_cell_angle_alpha 90.00
_cell_angle_beta 90.00
_cell_angle_gamma 90.00
loop_
_atom_site_label
_atom_site_fract_x
_atom_site_fract_y
_atom_site_fract_z
La1 0.0000 0.0000 0.0000
Mo1 0.5000 0.5000 0.0000
Ir1 0.0000 0.5000 0.5000
```

Values from the calculation:
The calculated formation energy comes out at 0.050 eV/atom. The calculation puts the raw total energy at -33.28 eV per cell. Its size of the total moment is 0.00 Bohr magnetons per cell.